# GGA+U Fe3P4H12N2O16, relaxed
data_Fe3P4H12N2O16
_symmetry_space_group_name_H-M 'P 1 21/c 1'
_symmetry_Int_Tables_number 14
_cell_length_a 9.597
_cell_length_b 8.404
_cell_length_c 9.440
_cell_angle_alpha 90.00
_cell_angle_beta 101.28
_cell_angle_gamma 90.00
loop_
_symmetry_equiv_pos_as_xyz
'x,y,z'
'-x,-y,-z'
'-x,y+1/2,-z+1/2'
'x,-y+1/2,z+1/2'
loop_
_atom_site_label
_atom_site_fract_x
_atom_site_fract_y
_atom_site_fract_z
Fe1 0.000 0.000 0.000
Fe2 0.131 0.136 0.499
P1 0.092 0.705 0.792
P2 0.296 0.044 0.241
H1 0.217 0.523 0.250
H2 0.368 0.011 0.703
H3 0.377 0.728 0.952
H4 0.443 0.630 0.576
H5 0.449 0.219 0.456
H6 0.498 0.642 0.415
N1 0.466 0.708 0.497
O1 0.001 0.206 0.860
O2 0.039 0.584 0.892
O3 0.123 0.631 0.360
O4 0.189 0.110 0.113
O5 0.247 0.640 0.770
O6 0.264 0.024 0.674
O7 0.298 0.134 0.383
O8 0.446 0.021 0.211
# Raw total energy: -6.222 eV/atom